DFT (PBEsol) results for a relaxed structure of Cu2Au.

Properties
ΔE_f in meV/atom: 13
Magnetic moment in Bohr magnetons per cell: 0.000
Total energy in eV per atom: -4.1844

a = 4.1478 Å, b = 4.1478 Å, c = 2.6843 Å
α = 90.00°, β = 90.00°, γ = 120.00°
Space group P6/mmm (No. 191)
Asymmetric unit:
Cu 0.3333 0.6667 0.0000 [2 per cell]
Au 0.0000 0.0000 0.5000 [1 per cell]

DFT (PBEsol) results for a relaxed structure of AlAs2Rh.

Properties
ΔE_f in meV/atom: 7
Magnetic moment in Bohr magnetons per cell: 0.000
Total energy in eV per atom: -5.6032

a = 3.493 Å, b = 4.127 Å, c = 4.462 Å
α = 90.00°, β = 90.00°, γ = 90.00°
Space group Pmmm (No. 47)
Asymmetric unit:
Al 0.000 0.000 0.000 [1 per cell]
As 0.000 0.500 0.500 [1 per cell]
As 0.500 0.000 0.500 [1 per cell]
Rh 0.500 0.500 0.000 [1 per cell]

DFT (PBEsol) results for a relaxed structure of DyLuMg2.

Properties
ΔE_f in meV/atom: -48
Magnetic moment in Bohr magnetons per cell: 0.003
Total energy in eV per atom: -3.3697

a = 7.421 Å, b = 7.421 Å, c = 7.421 Å
α = 90.00°, β = 90.00°, γ = 90.00°
Space group Fm-3m (No. 225)
Asymmetric unit:
Dy 0.000 0.000 0.000 [4 per cell]
Lu 0.000 0.000 0.500 [4 per cell]
Mg 0.250 0.250 0.250 [8 per cell]

DFT (PBEsol) results for a relaxed structure of LaGa3Pd2.

Properties
ΔE_f in meV/atom: -795
Magnetic moment in Bohr magnetons per cell: 0.000
Total energy in eV per atom: -5.3427

a = 5.3960 Å, b = 5.3960 Å, c = 4.2497 Å
α = 90.00°, β = 90.00°, γ = 120.00°
Space group P6/mmm (No. 191)
Asymmetric unit:
La 0.0000 0.0000 0.0000 [1 per cell]
Ga 0.0000 0.5000 0.5000 [3 per cell]
Pd 0.3333 0.6667 0.0000 [2 per cell]

DFT (PBEsol) results for a relaxed structure of CsZrSe2.

Properties
Formation energy (no corrections) in eV/atom: -1.052
Magnetic moment in Bohr magnetons per cell: 4.075
Total energy in eV per atom: -5.4850

a = 7.939 Å, b = 7.939 Å, c = 9.051 Å
α = 90.00°, β = 90.00°, γ = 90.00°
Space group I-42d (No. 122)
Asymmetric unit:
Cs 0.000 0.000 0.000 [4 per cell]
Zr 0.000 0.000 0.500 [4 per cell]
Se 0.149 0.250 0.625 [8 per cell]

DFT (PBEsol) results for a relaxed structure of Mg2HgRh.

Properties
ΔE_f in meV/atom: -393
Magnetic moment in Bohr magnetons per cell: 0.000
Total energy in eV per atom: -3.4283

a = 3.191 Å, b = 3.191 Å, c = 6.784 Å
α = 90.00°, β = 90.00°, γ = 90.00°
Space group P4/mmm (No. 123)
Asymmetric unit:
Mg 0.000 0.000 0.213 [2 per cell]
Hg 0.500 0.500 0.500 [1 per cell]
Rh 0.500 0.500 0.000 [1 per cell]

DFT (PBEsol) results for a relaxed structure of Rb3AlCl6.

Properties
Formation energy (no corrections) in eV/atom: -1.782
Magnetic moment in Bohr magnetons per cell: 0.002
Total energy in eV per atom: -3.7032

a = 10.664 Å, b = 10.664 Å, c = 10.664 Å
α = 90.00°, β = 90.00°, γ = 90.00°
Space group Fm-3m (No. 225)
Asymmetric unit:
Rb 0.000 0.000 0.000 [4 per cell]
Rb 0.250 0.250 0.250 [8 per cell]
Al 0.000 0.000 0.500 [4 per cell]
Cl 0.000 0.000 0.283 [24 per cell]

DFT (PBEsol) results for a relaxed structure of Li2AgOs.

Properties
ΔE_f in meV/atom: 255
Magnetic moment in Bohr magnetons per cell: 0.000
Total energy in eV per atom: -4.6104

a = 2.570 Å, b = 4.723 Å, c = 4.729 Å
α = 90.00°, β = 90.00°, γ = 90.00°
Space group Pmm2 (No. 25)
Asymmetric unit:
Li 0.000 0.000 0.000 [1 per cell]
Li 0.500 0.500 0.150 [1 per cell]
Ag 0.000 0.500 0.633 [1 per cell]
Os 0.500 0.000 0.503 [1 per cell]

DFT (PBEsol) results for a relaxed structure of Zr2CdRu.

Properties
ΔE_f in meV/atom: -93
Magnetic moment in Bohr magnetons per cell: 0.000
Total energy in eV per atom: -7.4802

a = 4.063 Å, b = 4.063 Å, c = 8.957 Å
α = 90.00°, β = 90.00°, γ = 90.00°
Space group I-4m2 (No. 119)
Asymmetric unit:
Zr 0.000 0.000 0.000 [2 per cell]
Zr 0.000 0.500 0.250 [2 per cell]
Cd 0.000 0.000 0.500 [2 per cell]
Ru 0.000 0.500 0.750 [2 per cell]

DFT (PBEsol) results for a relaxed structure of NiMo2AsI.

Properties
Formation energy (no corrections) in eV/atom: 1.937
Magnetic moment in Bohr magnetons per cell: 0.118
Total energy in eV per atom: -5.3760

a = 4.580 Å, b = 4.580 Å, c = 5.431 Å
α = 90.00°, β = 90.00°, γ = 90.00°
Space group P4/mmm (No. 123)
Asymmetric unit:
Ni 0.000 0.000 0.000 [1 per cell]
Mo 0.000 0.500 0.500 [2 per cell]
As 0.500 0.500 0.500 [1 per cell]
I 0.500 0.500 0.000 [1 per cell]

DFT (PBEsol) results for a relaxed structure of Zr2TaTc.

Properties
ΔE_f in meV/atom: -171
Magnetic moment in Bohr magnetons per cell: 0.000
Total energy in eV per atom: -10.6703

a = 3.250 Å, b = 4.796 Å, c = 9.491 Å
α = 90.00°, β = 90.00°, γ = 90.00°
Space group Imm2 (No. 44)
Asymmetric unit:
Zr 0.000 0.000 0.000 [2 per cell]
Zr 0.000 0.500 0.229 [2 per cell]
Ta 0.000 0.500 0.774 [2 per cell]
Tc 0.000 0.000 0.491 [2 per cell]

DFT (PBEsol) results for a relaxed structure of ScAl2Co.

Properties
ΔE_f in meV/atom: -47
Magnetic moment in Bohr magnetons per cell: 0.713
Total energy in eV per atom: -5.6785

a = 2.9391 Å, b = 2.9391 Å, c = 25.4033 Å
α = 90.00°, β = 90.00°, γ = 120.00°
Space group R3m (No. 160, hexagonal axes)
Asymmetric unit:
Sc 0.0000 0.0000 0.0000 [3 per cell]
Al 0.0000 0.0000 0.5223 [3 per cell]
Al 0.0000 0.0000 0.7648 [3 per cell]
Co 0.0000 0.0000 0.2590 [3 per cell]

Number 1: DOS(E_F) 0.280 states/eV/atom. Number 2: DOS(E_F) 0.311 states/eV/atom. Number 3: DOS(E_F) 1.270 states/eV/atom. Number 4: DOS(E_F) 0.420 states/eV/atom. Number 5: DOS(E_F) 0.617 states/eV/atom. Number 6: DOS(E_F) 0.341 states/eV/atom. Number 7: DOS(E_F) 0.000 states/eV/atom. Number 8: DOS(E_F) 0.355 states/eV/atom. Number 9: DOS(E_F) 0.913 states/eV/atom. Number 10: DOS(E_F) 1.620 states/eV/atom. Number 11: DOS(E_F) 1.036 states/eV/atom. Number 12: DOS(E_F) 0.827 states/eV/atom.